Entry 1:
# Sr2CdGaHg6 | Alexandria | PBE | relaxed
# **SG**: P-1, No. 2
# **DOS(E_F)**: 3.48 states/eV/cell
# **Energy of formation**: -233 kJ/mol of formula units
# **DFT total energy**: -11.53 eV for the cell shown
data_Sr2CdGaHg6
_symmetry_space_group_name_H-M 'P 1'
_symmetry_Int_Tables_number 1
_cell_length_a 6.307
_cell_length_b 9.489
_cell_length_c 7.279
_cell_angle_alpha 46.38
_cell_angle_beta 76.07
_cell_angle_gamma 93.06
loop_
_symmetry_equiv_pos_as_xyz
'x,y,z'
loop_
_atom_site_label
_atom_site_fract_x
_atom_site_fract_y
_atom_site_fract_z
Sr1 0.811 0.276 0.460
Sr2 0.189 0.724 0.540
Cd1 0.500 0.500 0.000
Ga1 0.000 0.000 0.000
Hg1 0.301 0.390 0.510
Hg2 0.850 0.793 0.881
Hg3 0.346 0.843 0.913
Hg4 0.654 0.157 0.087
Hg5 0.150 0.207 0.119
Hg6 0.699 0.610 0.490



Entry 2:
# NiHIr | Alexandria | PBE | relaxed
# **SG**: R3m, No. 160
# **DOS(E_F)**: 9.59 states/eV/cell
# **DFT total energy**: -53.21 eV for the cell shown
# **ΔE to the lowest computed polymorph**: 0.00 eV per formula unit
data_NiHIr
_symmetry_space_group_name_H-M 'P 1'
_symmetry_Int_Tables_number 1
_cell_length_a 2.747
_cell_length_b 2.747
_cell_length_c 13.160
_cell_angle_alpha 90.00
_cell_angle_beta 90.00
_cell_angle_gamma 120.00
loop_
_symmetry_equiv_pos_as_xyz
'x,y,z'
loop_
_atom_site_label
_atom_site_fract_x
_atom_site_fract_y
_atom_site_fract_z
Ni1 0.000 0.000 0.965
Ni2 0.333 0.667 0.632
Ni3 0.667 0.333 0.299
H1 0.000 0.000 0.592
H2 0.333 0.667 0.259
H3 0.667 0.333 0.925
Ir1 0.000 0.000 0.457
Ir2 0.333 0.667 0.123
Ir3 0.667 0.333 0.790



Entry 3:
# ScAgPd2 | Alexandria | PBE | relaxed
# **SG**: P4/mmm, No. 123
# **DOS(E_F)**: 1.18 states/eV/cell
# **Energy of formation**: -239 kJ/mol of formula units
# **DFT total energy**: -22.04 eV for the cell shown
# **ΔE to the lowest computed polymorph**: 0.19 eV per formula unit
data_ScAgPd2
_symmetry_space_group_name_H-M 'P 1'
_symmetry_Int_Tables_number 1
_cell_length_a 3.395
_cell_length_b 3.395
_cell_length_c 5.956
_cell_angle_alpha 90.00
_cell_angle_beta 90.00
_cell_angle_gamma 90.00
loop_
_symmetry_equiv_pos_as_xyz
'x,y,z'
loop_
_atom_site_label
_atom_site_fract_x
_atom_site_fract_y
_atom_site_fract_z
Sc1 0.500 0.500 0.000
Pd1 0.000 0.000 0.756
Pd2 0.000 0.000 0.244
Ag1 0.500 0.500 0.500



Entry 4:
# CaLaTlI6 | Alexandria | PBE | relaxed
# **SG**: P-31c, No. 163
# **DOS(E_F)**: 0.00 states/eV/cell
# **DFT total energy**: -61.64 eV for the cell shown
data_CaLaTlI6
_symmetry_space_group_name_H-M 'P 1'
_symmetry_Int_Tables_number 1
_cell_length_a 8.124
_cell_length_b 8.124
_cell_length_c 15.226
_cell_angle_alpha 90.00
_cell_angle_beta 90.00
_cell_angle_gamma 120.00
loop_
_symmetry_equiv_pos_as_xyz
'x,y,z'
loop_
_atom_site_label
_atom_site_fract_x
_atom_site_fract_y
_atom_site_fract_z
Ca1 0.333 0.667 0.250
Ca2 0.667 0.333 0.750
La1 0.667 0.333 0.250
La2 0.333 0.667 0.750
Tl1 0.000 0.000 0.000
Tl2 0.000 0.000 0.500
I1 0.636 0.639 0.131
I2 0.003 0.364 0.131
I3 0.364 0.003 0.631
I4 0.997 0.636 0.869
I5 0.361 0.364 0.369
I6 0.003 0.639 0.369
I7 0.639 0.003 0.869
I8 0.636 0.997 0.369
I9 0.997 0.361 0.631
I10 0.361 0.997 0.131
I11 0.639 0.636 0.631
I12 0.364 0.361 0.869



Entry 5:
# Pr3ErS6 | Alexandria | PBE | relaxed
# **SG**: R-3, No. 148
# **DOS(E_F)**: 0.00 states/eV/cell
# **DFT total energy**: -128.39 eV for the cell shown
data_Pr3ErS6
_symmetry_space_group_name_H-M 'P 1'
_symmetry_Int_Tables_number 1
_cell_length_a 8.276
_cell_length_b 8.276
_cell_length_c 8.276
_cell_angle_alpha 91.54
_cell_angle_beta 91.54
_cell_angle_gamma 91.54
loop_
_symmetry_equiv_pos_as_xyz
'x,y,z'
loop_
_atom_site_label
_atom_site_fract_x
_atom_site_fract_y
_atom_site_fract_z
Pr1 0.432 0.924 0.750
Pr2 0.924 0.750 0.432
Pr3 0.250 0.568 0.076
Pr4 0.750 0.432 0.924
Pr5 0.076 0.250 0.568
Pr6 0.568 0.076 0.250
Er1 0.000 0.000 0.000
Er2 0.500 0.500 0.500
S1 0.308 0.914 0.077
S2 0.086 0.923 0.692
S3 0.589 0.810 0.461
S4 0.923 0.692 0.086
S5 0.461 0.589 0.810
S6 0.190 0.539 0.411
S7 0.810 0.461 0.589
S8 0.539 0.411 0.190
S9 0.077 0.308 0.914
S10 0.411 0.190 0.539
S11 0.914 0.077 0.308
S12 0.692 0.086 0.923



Entry 6:
# KPm2Tc2N6 | Alexandria | PBE | relaxed
# **SG**: P-1, No. 2
# **DOS(E_F)**: 3.62 states/eV/cell
# **DFT total energy**: -86.45 eV for the cell shown
data_KPm2Tc2N6
_symmetry_space_group_name_H-M 'P 1'
_symmetry_Int_Tables_number 1
_cell_length_a 6.691
_cell_length_b 6.269
_cell_length_c 6.800
_cell_angle_alpha 114.86
_cell_angle_beta 83.85
_cell_angle_gamma 64.27
loop_
_symmetry_equiv_pos_as_xyz
'x,y,z'
loop_
_atom_site_label
_atom_site_fract_x
_atom_site_fract_y
_atom_site_fract_z
K1 0.500 0.000 0.500
Pm1 0.829 0.359 0.785
Pm2 0.171 0.641 0.215
Tc1 0.170 0.773 0.817
Tc2 0.830 0.227 0.183
N1 0.411 0.711 0.920
N2 0.921 0.462 0.203
N3 0.168 0.862 0.591
N4 0.079 0.538 0.797
N5 0.832 0.138 0.409
N6 0.589 0.289 0.080



Entry 7:
# Tb2Tm12Sc | Alexandria | PBE | relaxed
# **SG**: P4/nbm, No. 125
# **DOS(E_F)**: 46.95 states/eV/cell
# **Energy of formation**: 519 kJ/mol of formula units
# **DFT total energy**: -127.74 eV for the cell shown
data_Tb2Tm12Sc
_symmetry_space_group_name_H-M 'P 1'
_symmetry_Int_Tables_number 1
_cell_length_a 6.332
_cell_length_b 6.332
_cell_length_c 24.325
_cell_angle_alpha 90.00
_cell_angle_beta 90.00
_cell_angle_gamma 90.00
loop_
_symmetry_equiv_pos_as_xyz
'x,y,z'
loop_
_atom_site_label
_atom_site_fract_x
_atom_site_fract_y
_atom_site_fract_z
Tb1 0.500 0.000 0.272
Tb2 0.000 0.500 0.272
Tb3 0.000 0.500 0.728
Tb4 0.500 0.000 0.728
Tm1 0.500 0.500 0.788
Tm2 0.000 0.000 0.788
Tm3 0.687 0.813 0.889
Tm4 0.187 0.687 0.889
Tm5 0.000 0.000 0.339
Tm6 0.313 0.813 0.111
Tm7 0.831 0.331 0.561
Tm8 0.500 0.500 0.339
Tm9 0.313 0.187 0.889
Tm10 0.813 0.687 0.111
Tm11 0.331 0.169 0.561
Tm12 0.669 0.169 0.439
Tm13 0.000 0.000 0.661
Tm14 0.169 0.331 0.439
Tm15 0.187 0.313 0.111
Tm16 0.831 0.669 0.439
Tm17 0.669 0.831 0.561
Tm18 0.000 0.000 0.212
Tm19 0.169 0.669 0.561
Tm20 0.500 0.500 0.661
Tm21 0.813 0.313 0.889
Tm22 0.500 0.500 0.212
Tm23 0.331 0.831 0.439
Tm24 0.687 0.187 0.111
Sc1 0.500 0.000 0.000
Sc2 0.000 0.500 0.000



Entry 8:
# LaLuZn | Alexandria | PBE | relaxed
# **SG**: I4mm, No. 107
# **DOS(E_F)**: 4.01 states/eV/cell
# **Energy of formation**: -56 kJ/mol of formula units
# **DFT total energy**: -11.30 eV for the cell shown
# **ΔE to the lowest computed polymorph**: 0.00 eV per formula unit
data_LaLuZn
_symmetry_space_group_name_H-M 'P 1'
_symmetry_Int_Tables_number 1
_cell_length_a 3.623
_cell_length_b 3.623
_cell_length_c 6.739
_cell_angle_alpha 105.59
_cell_angle_beta 105.59
_cell_angle_gamma 90.00
loop_
_symmetry_equiv_pos_as_xyz
'x,y,z'
loop_
_atom_site_label
_atom_site_fract_x
_atom_site_fract_y
_atom_site_fract_z
Zn1 0.682 0.682 0.363
Lu1 0.303 0.303 0.606
La1 0.015 0.015 0.030



Entry 9:
# Pr2NdHg2 | Alexandria | PBE | relaxed
# **SG**: Cmc2_1, No. 36
# **DOS(E_F)**: 11.86 states/eV/cell
# **Energy of formation**: -150 kJ/mol of formula units
# **DFT total energy**: -32.97 eV for the cell shown
# **ΔE to the lowest computed polymorph**: 0.31 eV per formula unit
data_Pr2NdHg2
_symmetry_space_group_name_H-M 'P 1'
_symmetry_Int_Tables_number 1
_cell_length_a 5.619
_cell_length_b 6.583
_cell_length_c 8.739
_cell_angle_alpha 90.00
_cell_angle_beta 108.75
_cell_angle_gamma 90.00
loop_
_symmetry_equiv_pos_as_xyz
'x,y,z'
loop_
_atom_site_label
_atom_site_fract_x
_atom_site_fract_y
_atom_site_fract_z
Pr1 0.036 0.229 0.072
Pr2 0.203 0.659 0.406
Pr3 0.797 0.159 0.594
Pr4 0.964 0.729 0.928
Nd1 0.589 0.905 0.178
Nd2 0.411 0.405 0.822
Hg1 0.608 0.418 0.215
Hg2 0.220 0.154 0.440
Hg3 0.780 0.654 0.560
Hg4 0.392 0.918 0.785



Entry 10:
# ReHg2Te | Alexandria | PBE | relaxed
# **SG**: P4/mmm, No. 123
# **DOS(E_F)**: 4.31 states/eV/cell
# **DFT total energy**: -12.03 eV for the cell shown
# **ΔE to the lowest computed polymorph**: 2.54 eV per formula unit
data_ReHg2Te
_symmetry_space_group_name_H-M 'P 1'
_symmetry_Int_Tables_number 1
_cell_length_a 4.148
_cell_length_b 4.148
_cell_length_c 4.972
_cell_angle_alpha 90.00
_cell_angle_beta 90.00
_cell_angle_gamma 90.00
loop_
_symmetry_equiv_pos_as_xyz
'x,y,z'
loop_
_atom_site_label
_atom_site_fract_x
_atom_site_fract_y
_atom_site_fract_z
Hg1 0.000 0.000 0.000
Hg2 0.500 0.500 0.000
Re1 0.500 0.000 0.500
Te1 0.000 0.500 0.500



Entry 11:
# SrZn4Pt2 | Alexandria | PBE | relaxed
# **SG**: Cmmm, No. 65
# **DOS(E_F)**: 2.68 states/eV/cell
# **Energy of formation**: -322 kJ/mol of formula units
# **DFT total energy**: -22.19 eV for the cell shown
# **ΔE to the lowest computed polymorph**: 0.71 eV per formula unit
data_SrZn4Pt2
_symmetry_space_group_name_H-M 'P 1'
_symmetry_Int_Tables_number 1
_cell_length_a 4.244
_cell_length_b 4.236
_cell_length_c 7.656
_cell_angle_alpha 106.06
_cell_angle_beta 90.00
_cell_angle_gamma 90.00
loop_
_symmetry_equiv_pos_as_xyz
'x,y,z'
loop_
_atom_site_label
_atom_site_fract_x
_atom_site_fract_y
_atom_site_fract_z
Sr1 0.000 0.000 0.000
Zn1 0.500 0.807 0.615
Zn2 0.000 0.689 0.378
Zn3 0.500 0.193 0.385
Zn4 0.000 0.311 0.622
Pt1 0.500 0.590 0.180
Pt2 0.500 0.410 0.820



Entry 12:
# MnIBr | Alexandria | PBE | relaxed
# **SG**: C2/m, No. 12
# **DFT total energy**: -28.41 eV for the cell shown
data_MnIBr
_symmetry_space_group_name_H-M 'P 1'
_symmetry_Int_Tables_number 1
_cell_length_a 4.031
_cell_length_b 6.954
_cell_length_c 8.108
_cell_angle_alpha 112.13
_cell_angle_beta 104.39
_cell_angle_gamma 90.00
loop_
_symmetry_equiv_pos_as_xyz
'x,y,z'
loop_
_atom_site_label
_atom_site_fract_x
_atom_site_fract_y
_atom_site_fract_z
Mn1 0.751 0.757 0.501
Mn2 0.249 0.243 0.499
I1 0.632 0.314 0.265
I2 0.368 0.686 0.735
Br1 0.149 0.826 0.299
Br2 0.851 0.174 0.701



Repeat the fourth record exactly.
# CaLaTlI6 | Alexandria | PBE | relaxed
# **SG**: P-31c, No. 163
# **DOS(E_F)**: 0.00 states/eV/cell
# **DFT total energy**: -61.64 eV for the cell shown
data_CaLaTlI6
_symmetry_space_group_name_H-M 'P 1'
_symmetry_Int_Tables_number 1
_cell_length_a 8.124
_cell_length_b 8.124
_cell_length_c 15.226
_cell_angle_alpha 90.00
_cell_angle_beta 90.00
_cell_angle_gamma 120.00
loop_
_symmetry_equiv_pos_as_xyz
'x,y,z'
loop_
_atom_site_label
_atom_site_fract_x
_atom_site_fract_y
_atom_site_fract_z
Ca1 0.333 0.667 0.250
Ca2 0.667 0.333 0.750
La1 0.667 0.333 0.250
La2 0.333 0.667 0.750
Tl1 0.000 0.000 0.000
Tl2 0.000 0.000 0.500
I1 0.636 0.639 0.131
I2 0.003 0.364 0.131
I3 0.364 0.003 0.631
I4 0.997 0.636 0.869
I5 0.361 0.364 0.369
I6 0.003 0.639 0.369
I7 0.639 0.003 0.869
I8 0.636 0.997 0.369
I9 0.997 0.361 0.631
I10 0.361 0.997 0.131
I11 0.639 0.636 0.631
I12 0.364 0.361 0.869